Entry from Alexandria: an optimized crystal structure of Cr2InSb (PBE).

CIF file:
```
data_Cr2InSb
_chemical_formula_sum 'Cr2 In1 Sb1'
_cell_length_a 5.075
_cell_length_b 5.075
_cell_length_c 3.150
_cell_angle_alpha 90.03
_cell_angle_beta 90.03
_cell_angle_gamma 101.51
_symmetry_space_group_name_H-M 'P 1'
_symmetry_Int_Tables_number 1
_symmetry_space_group_name_Hall 'P 1'
loop_
_atom_site_label
_atom_site_type_symbol
_atom_site_fract_x
_atom_site_fract_y
_atom_site_fract_z
Cr1 Cr 0.000 0.000 0.000
Cr2 Cr 0.500 0.500 0.000
In1 In 0.500 0.000 0.500
Sb1 Sb 0.000 0.500 0.500
```

V in Å³/cell: 79
Crystal system: orthorhombic
Symmetry: No. 65
E_form (uncorrected) in kJ per mole of atoms: 42.1
Energy above the lowest structure with this stoichiometry in eV per atom: 0.209
Total magnetization in μB/f.u.: 7.57

Entry from Alexandria: an optimized crystal structure of LaPr3Te6 (PBE).

CIF file:
```
data_LaPr3Te6
_chemical_formula_sum 'La2 Pr6 Te12'
_cell_length_a 7.520
_cell_length_b 8.439
_cell_length_c 11.721
_cell_angle_alpha 90.00
_cell_angle_beta 89.09
_cell_angle_gamma 90.00
_symmetry_space_group_name_H-M 'P 1'
_symmetry_Int_Tables_number 1
_symmetry_space_group_name_Hall 'P 1'
loop_
_atom_site_label
_atom_site_type_symbol
_atom_site_fract_x
_atom_site_fract_y
_atom_site_fract_z
La1 La 0.500 0.500 0.500
La2 La 0.000 0.000 0.000
Pr1 Pr 0.554 0.882 0.752
Pr2 Pr 0.500 0.500 0.000
Pr3 Pr 0.446 0.118 0.248
Pr4 Pr 0.054 0.618 0.252
Pr5 Pr 0.000 0.000 0.500
Pr6 Pr 0.946 0.382 0.748
Te1 Te 0.659 0.176 0.916
Te2 Te 0.661 0.176 0.587
Te3 Te 0.666 0.443 0.248
Te4 Te 0.334 0.557 0.752
Te5 Te 0.339 0.824 0.413
Te6 Te 0.341 0.824 0.084
Te7 Te 0.159 0.324 0.416
Te8 Te 0.161 0.324 0.087
Te9 Te 0.166 0.057 0.748
Te10 Te 0.834 0.943 0.252
Te11 Te 0.839 0.676 0.913
Te12 Te 0.841 0.676 0.584
```

V in Å³/cell: 744
Crystal system: monoclinic
Symmetry: No. 14
E_form (uncorrected) in kJ per mole of atoms: -136.4
Energy above the lowest structure with this stoichiometry in eV per atom: 0.059
Total magnetization in μB/f.u.: 0.00